The following is a DFT calculation (PBE-GGA) of a relaxed structure of CdCu2.

a b c (Å): 4.279 4.279 4.279
angles (deg): 60.00 60.00 60.00
Sites, in units of the cell vectors:
Cd (0.000, 0.000, 0.000)
Cu (0.250, 0.250, 0.250)
Cu (0.750, 0.750, 0.750)

Values from the calculation:
For the energy of formation, the calculation gives 131 kJ/mol of formula units. The symmetry is Fm-3m. As for the density of states at the Fermi level: 0.32 states/eV per atom. As for the calculated density: 7.18 g/cm³.